VASP calculation (PBE) on crystalline LiPmGa2Pt at its relaxed geometry.

Calculated values
E_form = -0.69 eV per atom
SG = No. 119
V = 95.35 Å³/f.u.
electronic total energy = -4.4421 eV/atom

Cell: 6.2465 6.2465 6.2465 Å, 141.10 141.10 56.18°
Closest atoms and distances in Å follow each position.
Sites, in units of the cell vectors:
Li 0.0000 0.0000 0.0000  4 Ga 2.54
Pm 0.2500 0.7500 0.5000  8 Ga 3.22, 4 Li 3.45, 4 Pt 3.45
Ga 0.6320 0.1320 0.5000  2 Li 2.54, 2 Pt 2.54, 1 Ga 2.60
Ga 0.8680 0.3680 0.5000  2 Li 2.54, 2 Pt 2.54, 1 Ga 2.60
Pt 0.5000 0.5000 0.0000  4 Ga 2.54

VASP calculation (PBE) on crystalline LiPmGaPt at its relaxed geometry.

Calculated values
E_form = -0.61 eV per atom
SG = No. 8
V = 89.70 Å³/f.u.
distance to the lowest polymorph of the same formula = 0.080 eV/atom
electronic total energy = -4.5465 eV/atom

Cell: 5.1333 5.1333 5.0285 Å, 108.13 108.13 46.00°
Closest atoms and distances in Å follow each position.
Sites, in units of the cell vectors:
Li 0.0000 0.0000 0.0000  2 Pt 2.61-2.71, 1 Ga 2.69
Pm 0.6484 0.6484 0.6336  3 Pt 2.93-2.97, 2 Ga 3.18, 1 Li 3.21
Ga 0.3015 0.3015 0.1404  2 Pt 2.47, 1 Li 2.69
Pt 0.9037 0.9037 0.4284  2 Ga 2.47, 2 Li 2.61-2.71

no.,magnetization (μB/cell)
1,0.00
2,0.00